A relaxed structure of TlReMoO6, computed with PBE with a Hubbard U.

Computed properties:
- Calculated total energy: -64.59 eV per cell
- V: 16.93 Å³ per atom
- Space-group type: C2, No. 5

Cell: 5.480 5.480 6.010 Å, 90.54 90.54 122.40°
Fractional positions:
Tl (0.000, 0.000, 0.000)
Re (0.339, 0.661, 0.500)
Mo (0.662, 0.338, 0.500)
O (0.022, 0.405, 0.317)
O (0.024, 0.602, 0.683)
O (0.384, 0.399, 0.678)
O (0.398, 0.976, 0.317)
O (0.595, 0.978, 0.683)
O (0.601, 0.616, 0.322)